Entry from Alexandria via LeMat-Bulk: a geometry-optimized VO3 structure (PBE with a Hubbard U).

abc: 11.7188 3.6704 11.6201
angles: 90.00 94.21 90.00
Space group C2/m (No. 12)
Inequivalent atoms, fractional coordinates:
V  0.0763  0.0000  0.1432
V  0.2151  0.0000  0.8530
O  0.0518  0.5000  0.5137
O  0.0712  0.0000  0.2802
O  0.0742  0.0000  0.9124
O  0.1130  0.5000  0.1154
O  0.1902  0.0000  0.7162
O  0.2472  0.0000  0.1114

Values from the calculation:
* total magnetic moment: 0.125 μB/atom
* raw total energy: -7.11 eV per atom